Entry 1:
{"formula": "YIn4Se", "functional": "PBE-GGA", "state": "optimized geometry", "spacegroup": "No. 216", "cell": [[-5.962, 0.374, 0.958], [-3.108, 4.750, -2.093], [-3.855, -0.701, -4.610]], "species": ["Y", "In", "In", "In", "In", "Se"], "frac_coords": [[0.000, 0.000, 0.000], [0.876, 0.375, 0.375], [0.375, 0.375, 0.876], [0.375, 0.876, 0.375], [0.375, 0.375, 0.375], [0.750, 0.750, 0.750]]}

Entry 2:
{"formula": "Y8InSe4", "functional": "PBE-GGA", "state": "optimized geometry", "spacegroup": "No. 12", "cell": [[-1.758, 3.087, 1.791], [-6.959, 2.294, -6.365], [-6.843, -4.401, 5.287]], "species": ["Y", "Y", "Y", "Y", "Y", "Y", "Y", "Y", "In", "Se", "Se", "Se", "Se"], "frac_coords": [[0.170, 0.302, 0.358], [0.563, 0.614, 0.260], [0.468, 0.389, 0.674], [0.861, 0.702, 0.575], [0.895, 0.965, 0.245], [0.173, 0.725, 0.929], [0.136, 0.038, 0.689], [0.859, 0.278, 0.005], [0.516, 0.002, 0.967], [0.356, 0.856, 0.432], [0.820, 0.538, 0.822], [0.211, 0.466, 0.111], [0.675, 0.148, 0.502]]}

Entry 3:
{"formula": "YIn3Se6", "functional": "PBE-GGA", "state": "optimized geometry", "spacegroup": "No. 11", "cell": [[-0.271, -3.879, -1.219], [10.693, -2.231, 4.721], [-8.392, -1.784, 7.540]], "species": ["Y", "Y", "In", "In", "In", "In", "In", "In", "Se", "Se", "Se", "Se", "Se", "Se", "Se", "Se", "Se", "Se", "Se", "Se"], "frac_coords": [[0.750, 0.049, 0.702], [0.250, 0.951, 0.298], [0.750, 0.438, 0.834], [0.250, 0.562, 0.166], [0.750, 0.706, 0.477], [0.250, 0.294, 0.523], [0.750, 0.168, 0.096], [0.250, 0.832, 0.904], [0.750, 0.454, 0.604], [0.250, 0.546, 0.396], [0.750, 0.931, 0.092], [0.250, 0.069, 0.908], [0.750, 0.396, 0.062], [0.250, 0.604, 0.938], [0.750, 0.749, 0.260], [0.250, 0.251, 0.740], [0.750, 0.099, 0.465], [0.250, 0.901, 0.535], [0.750, 0.802, 0.737], [0.250, 0.198, 0.263]]}

| no. | raw formation energy (eV/atom) | total magnetic moment (μB/f.u.) |
| --- | --- | --- |
| 1 | -0.104 | 0.000 |
| 2 | -1.106 | 0.000 |
| 3 | -0.810 | 0.000 |